No. 1
A crystal of LaCdPb2 relaxed with PBEsol, computed with SCAN.

The space group is No. 6. As for the crystal system: monoclinic. For the formation energy, the calculation gives -8.8 kcal/mol of atoms.

Cell lengths 3.3338, 5.5165, 6.1175 Å; angles 90.00, 90.04, 90.00 degrees
Sites, in units of the cell vectors:
Pb: 0.7444 0.5000 0.2664
La: 0.2503 0.5000 0.7621
Pb: 0.7544 0.0000 0.9786
Cd: 0.7509 0.0000 0.4930

No. 2
A crystal of LaCdPb2 relaxed with PBEsol, computed with SCAN.

The space group is No. 119. As for the crystal system: tetragonal. For the formation energy, the calculation gives -11.1 kcal/mol of atoms.

Cell lengths 4.6243, 4.6243, 6.0948 Å; angles 112.29, 112.29, 90.00 degrees
Sites, in units of the cell vectors:
Pb: 0.0000 0.0000 0.0000
Pb: 0.7500 0.2500 0.5000
La: 0.2500 0.7500 0.5000
Cd: 0.5000 0.5000 0.0000

No. 3
A crystal of LaCdPb2 relaxed with PBEsol, computed with SCAN.

The space group is No. 123. As for the crystal system: tetragonal. For the formation energy, the calculation gives -13.3 kcal/mol of atoms.

Cell lengths 4.6009, 4.8692, 4.8692 Å; angles 90.00, 90.00, 90.00 degrees
Sites, in units of the cell vectors:
La: 0.5000 0.0000 0.0000
Cd: 0.5000 0.5000 0.5000
Pb: 0.0000 0.5000 0.0000
Pb: 0.0000 0.0000 0.5000

No. 4
A crystal of LaCdPb relaxed with PBEsol, computed with SCAN.

The space group is No. 156. As for the crystal system: trigonal. For the formation energy, the calculation gives -14.2 kcal/mol of atoms.

Cell lengths 4.0765, 4.8886, 4.8886 Å; angles 120.00, 90.00, 90.00 degrees
Sites, in units of the cell vectors:
Pb: 0.2540 0.6667 0.3333
La: 0.6679 0.3333 0.6667
Cd: 0.0781 0.0000 0.0000

No. 5
A crystal of La2CdPd2 relaxed with PBEsol, computed with SCAN.

The space group is No. 127. As for the crystal system: tetragonal. For the formation energy, the calculation gives -19.4 kcal/mol of atoms.

Cell lengths 3.9249, 7.7612, 7.7612 Å; angles 90.00, 90.00, 90.00 degrees
Sites, in units of the cell vectors:
La: 0.5000 0.3259 0.1741
Pd: 0.0000 0.1285 0.3715
La: 0.5000 0.1741 0.6741
Pd: 0.0000 0.3715 0.8715
La: 0.5000 0.6741 0.8259
Pd: 0.0000 0.6285 0.1285
La: 0.5000 0.8259 0.3259
Pd: 0.0000 0.8715 0.6285
Cd: 0.0000 0.5000 0.5000
Cd: 0.0000 0.0000 0.0000

No. 6
A crystal of LaCdPd relaxed with PBEsol, computed with SCAN.

The space group is No. 189. As for the crystal system: hexagonal. For the formation energy, the calculation gives -17.8 kcal/mol of atoms.

Cell lengths 4.0856, 7.6329, 7.6329 Å; angles 120.00, 90.00, 90.00 degrees
Sites, in units of the cell vectors:
La: 0.0000 0.5914 0.0000
Cd: 0.5000 0.0000 0.2473
Pd: 0.5000 0.6667 0.3333
La: 0.0000 0.4086 0.4086
La: 0.0000 0.0000 0.5914
Cd: 0.5000 0.2473 0.0000
Pd: 0.0000 0.0000 0.0000
Pd: 0.5000 0.3333 0.6667
Cd: 0.5000 0.7527 0.7527